5
Lattice="5.438 0.000 0.000 0.000 5.438 0.000 0.000 0.000 5.438" Properties=species:S:1:pos:R:3 comment="LiGe3Pb | Alexandria | SCAN | single point on PBEsol structure" spacegroup=Pm-3m formation_energy_ev_per_atom=0.9585 pbc="T T T"
Pb 0.000 0.000 0.000
Ge 2.719 0.000 0.000
Ge 0.000 0.000 2.719
Li 2.719 2.719 2.719
Ge 0.000 2.719 0.000

---

5
Lattice="4.741 0.000 0.000 0.000 4.741 0.000 0.000 0.000 4.741" Properties=species:S:1:pos:R:3 comment="Li3GePb | Alexandria | SCAN | single point on PBEsol structure" spacegroup=Pm-3m formation_energy_ev_per_atom=-0.0179 pbc="T T T"
Li 0.000 2.370 0.000
Pb 2.370 2.370 2.370
Ge 0.000 0.000 0.000
Li 0.000 0.000 2.370
Li 2.370 0.000 0.000

---

4
Lattice="4.401 0.000 0.000 2.200 3.811 0.000 2.200 1.270 3.593" Properties=species:S:1:pos:R:3 comment="LiGe2Pd | Alexandria | SCAN | single point on PBEsol structure" spacegroup=Fm-3m formation_energy_ev_per_atom=-0.3470 pbc="T T T"
Ge 2.200 1.270 0.898
Li 0.000 0.000 0.000
Pd 4.401 2.541 1.797
Ge 6.601 3.811 2.695

---

5
Lattice="4.319 0.000 0.000 0.000 4.690 0.000 0.000 0.000 4.690" Properties=species:S:1:pos:R:3 comment="LiTi2GePd | Alexandria | SCAN | single point on PBEsol structure" spacegroup=P4/mmm formation_energy_ev_per_atom=0.2969 pbc="T T T"
Ti 0.000 0.000 2.345
Ge 2.160 2.345 2.345
Pd 0.000 0.000 0.000
Ti 0.000 2.345 0.000
Li 2.160 0.000 0.000

---

9
Lattice="-0.949 -3.906 -0.733 3.902 -0.682 -1.417 3.599 -0.659 10.232" Properties=species:S:1:pos:R:3 comment="LiPr2Ge6 | Alexandria | SCAN | single point on PBEsol structure" spacegroup=Cmmm formation_energy_ev_per_atom=-0.4688 pbc="T T T"
Ge 2.806 -3.406 3.123
Li 0.000 0.000 0.000
Pr 1.043 -0.872 3.293
Pr 1.607 -3.693 6.206
Ge -0.090 -2.274 0.847
Ge 3.746 -1.842 4.959
Ge 4.215 -4.584 7.572
Ge 2.337 -0.664 0.510
Ge 2.740 -2.291 8.652

---

16
Lattice="3.946 0.000 0.000 0.000 7.725 0.000 0.000 0.000 10.633" Properties=species:S:1:pos:R:3 comment="LiPrGe2 | Alexandria | SCAN | single point on PBEsol structure" spacegroup=Pnma formation_energy_ev_per_atom=-0.7360 pbc="T T T"
Ge 2.960 6.518 8.679
Ge 0.987 1.207 1.954
Pr 0.987 1.087 9.205
Ge 2.960 6.006 4.605
Li 0.987 3.786 1.166
Ge 2.960 2.143 0.712
Pr 2.960 2.775 3.889
Li 2.960 3.939 9.466
Ge 0.987 5.581 9.921
Ge 2.960 2.655 7.270
Ge 0.987 1.719 6.028
Pr 2.960 6.638 1.428
Li 0.987 7.648 4.150
Li 2.960 0.076 6.483
Pr 0.987 4.949 6.744
Ge 0.987 5.069 3.362

---

9
Lattice="4.357 0.000 0.000 0.000 7.254 0.000 0.000 -3.627 6.282" Properties=species:S:1:pos:R:3 comment="LiPrGe | Alexandria | SCAN | single point on PBEsol structure" spacegroup=P-62m formation_energy_ev_per_atom=-0.7394 pbc="T T T"
Ge 0.000 0.000 0.000
Li 2.178 -0.845 1.463
Pr 0.000 1.523 2.637
Ge 2.178 3.627 2.094
Ge 2.178 0.000 4.188
Pr 0.000 4.209 0.000
Li 2.178 1.690 0.000
Li 2.178 2.782 4.819
Pr 0.000 -2.104 3.645

---

5
Lattice="-0.487 3.110 -3.804 -3.898 -2.572 -1.603 -3.242 3.083 2.936" Properties=species:S:1:pos:R:3 comment="LiGeTePt2 | Alexandria | SCAN | single point on PBEsol structure" spacegroup=P4/mmm total_energy_ev_per_fu=-196.19 pbc="T T T"
Pt -1.949 -1.286 -0.802
Li -3.813 1.811 -1.236
Ge -1.621 1.542 1.468
Te 0.000 0.000 0.000
Pt -0.244 1.555 -1.902

---

Values of DOS(E_F), in order: 4.14 1.97 1.79 4.30 2.35 4.25 0.57 1.71, all in states/eV/cell.
Values of M_tot, in order: 0.0 0.0 0.0 0.0 0.0 0.0 0.0 0.0, all in μB/cell.